A crystal of Ca5V3O12F relaxed with PBEsol, computed with SCAN.

Summary:
Energy relative to the elements, uncorrected = -3.22 eV/atom

a b c (Å): 6.951 9.623 9.652
angles (deg): 60.10 89.11 89.84
Space group P-1 (No. 2)
Asymmetric unit:
Ca: 0.002 0.149 0.187 x2
Ca: 0.242 0.263 0.500 x2
Ca: 0.250 0.501 0.741 x2
Ca: 0.258 0.743 0.257 x2
Ca: 0.498 0.183 0.153 x2
V: 0.241 0.105 0.869 x2
V: 0.244 0.528 0.103 x2
V: 0.266 0.871 0.528 x2
O: 0.043 0.147 0.751 x2
O: 0.061 0.758 0.586 x2
O: 0.068 0.579 0.193 x2
O: 0.222 0.631 0.897 x2
O: 0.230 0.186 0.990 x2
O: 0.246 0.325 0.185 x2
O: 0.264 0.899 0.972 x2
O: 0.269 0.977 0.629 x2
O: 0.273 0.988 0.325 x2
O: 0.425 0.193 0.735 x2
O: 0.448 0.735 0.597 x2
O: 0.452 0.595 0.140 x2
F: 0.249 0.505 0.500 x2